(1)
VASP calculation (PBE) on a relaxed LiLaBr4 crystal.

The calculation puts the magnetization at 0.0 μB per cell. As for the formation energy from raw total energies: -1.792 eV/atom. Its energy relative to the lowest polymorph listed for this composition is 1 meV per atom. The density comes out at 3.7 g cm⁻³.

It has space group P2_1/m (No. 11), with a = 5.990 Å, b = 9.504 Å, c = 7.976 Å, α = 90.00°, β = 111.76° and γ = 90.00°. The inequivalent atoms are Li at (0.184, 0.250, 0.470), La at (0.052, 0.750, 0.116), Br at (0.139, 0.064, 0.218), Br at (0.228, 0.750, 0.506) and Br at (0.421, 0.250, 0.830).

(2)
VASP calculation (PBE) on a relaxed Li2LaBr crystal.

The calculation puts the magnetization at 0.0 μB per cell. As for the formation energy from raw total energies: -0.389 eV/atom. The density comes out at 3.6 g cm⁻³.

It has space group I-42d (No. 122), with a = 8.446 Å, b = 8.446 Å, c = 6.075 Å, α = 90.00°, β = 90.00° and γ = 90.00°. The inequivalent atoms are Li at (0.184, 0.750, 0.125), La at (0.000, 0.000, 0.500) and Br at (0.000, 0.000, 0.000).

(3)
VASP calculation (PBE) on a relaxed Li2LaBr crystal.

The calculation puts the magnetization at 0.0 μB per cell. As for the formation energy from raw total energies: -0.445 eV/atom. The density comes out at 3.4 g cm⁻³.

It has space group C2/m (No. 12), with a = 6.113 Å, b = 12.574 Å, c = 3.574 Å, α = 90.00°, β = 125.06° and γ = 90.00°. The inequivalent atoms are Li at (0.250, 0.250, 0.000), La at (0.000, 0.000, 0.500) and Br at (0.000, 0.500, 0.500).

- What is the formula in the first record?
  LiLaBr4